## one
An optimized crystal structure of SeClF, computed with GGA-PBE.

Summary:
Total moment   0.00 μB/f.u.

a b c (Å): 4.4439 4.5117 5.0591
angles (deg): 91.37 101.04 118.69
Closest atoms and distances in Å follow each position.
Space group P1 (No. 1)
Unique sites:
Se: 0.0000 0.0000 0.0000 x1  1 F 1.81
Cl: 0.1852 0.1117 0.4413 x1  1 Se 2.18
F: 0.9973 0.5988 0.9585 x1  1 Se 1.81

---

## two
An optimized crystal structure of SeClF, computed with GGA-PBE.

Summary:
Total moment   0.00 μB/f.u.

a b c (Å): 5.3160 6.2210 6.2549
angles (deg): 61.66 79.60 84.48
Closest atoms and distances in Å follow each position.
Space group P1 (No. 1)
Unique sites:
Se: 0.0000 0.0000 0.0000 x1  1 F 1.84
Se: 0.2597 0.3332 0.8808 x1  1 F 1.84
Cl: 0.1732 0.6152 0.5128 x1  1 Se 2.23
Cl: 0.4390 0.0393 0.7285 x1  2 Se 2.48-2.58
F: 0.0517 0.4834 0.0412 x1  1 Se 1.84
F: 0.7156 0.0731 0.1715 x1  1 Se 1.84

---

## three
An optimized crystal structure of SeClF, computed with GGA-PBE.

Summary:
Total moment   0.00 μB/f.u.

a b c (Å): 3.6718 6.2562 7.4369
angles (deg): 105.03 100.24 106.07
Closest atoms and distances in Å follow each position.
Space group P1 (No. 1)
Unique sites:
Se: 0.0000 0.0000 0.0000 x1  1 F 1.85
Se: 0.3674 0.6881 0.9963 x1  1 F 1.96, 1 Cl 2.16
Cl: 0.1644 0.5065 0.6878 x1  1 Se 2.16
Cl: 0.2924 0.0062 0.3202 x1  1 Se 2.42
F: 0.6458 0.4707 0.0323 x1  1 Se 1.96
F: 0.8077 0.9543 0.7401 x1  1 Se 1.85

---

In meV/atom, relative to the most stable structure: one 138; two 0; three 28.

---

## one
An optimized crystal structure of SeClF, computed with GGA-PBE.

Summary:
Total moment   0.00 μB/f.u.

a b c (Å): 4.2018 6.0167 7.5952
angles (deg): 102.17 104.81 102.88
Closest atoms and distances in Å follow each position.
Space group P1 (No. 1)
Unique sites:
Se: 0.0000 0.0000 0.0000 x1  1 Cl 2.15, 1 Se 2.40
Se: 0.1539 0.6949 0.8090 x1  2 F 1.86-1.93
Cl: 0.0251 0.9179 0.2650 x1  1 Se 2.15
Cl: 0.6742 0.4085 0.6273 x1  1 Se 2.23
F: 0.0397 0.9034 0.6576 x1  1 Se 1.93
F: 0.2174 0.5326 0.9916 x1  1 Se 1.86

---

## two
An optimized crystal structure of SeClF, computed with GGA-PBE.

Summary:
Total moment   0.00 μB/f.u.

a b c (Å): 5.3899 6.0020 6.2373
angles (deg): 112.41 101.21 93.99
Closest atoms and distances in Å follow each position.
Space group P1 (No. 1)
Unique sites:
Se: 0.0000 0.0000 0.0000 x1  2 F 1.79-1.84
Se: 0.1889 0.8254 0.6791 x1  1 Cl 2.22, 1 Se 2.34
Cl: 0.4622 0.6119 0.7975 x1  1 Se 2.22
Cl: 0.8321 0.1284 0.6838 x1  1 Se 2.42
F: 0.1764 0.8741 0.1991 x1  1 Se 1.84
F: 0.2003 0.2900 0.1731 x1  1 Se 1.79

---

In meV/atom, relative to the most stable structure: one 12; two 0.

---

## one
An optimized crystal structure of SiCl3F, computed with GGA-PBE.

Summary:
Total moment   0.49 μB/f.u.

a b c (Å): 4.5377 4.5377 4.5377
angles (deg): 90.00 90.00 90.00
Closest atoms and distances in Å follow each position.
Space group Pm-3m (No. 221)
Unique sites:
Si: 0.0000 0.0000 0.0000 x1  6 Cl 2.27
Cl: 0.0000 0.0000 0.5000 x3  2 Si 2.27
F: 0.5000 0.5000 0.5000 x1  12 Cl 3.21

---

## two
An optimized crystal structure of SiCl3F, computed with GGA-PBE.

Summary:
Total moment   0.00 μB/f.u.

a b c (Å): 4.6728 4.6728 4.6728
angles (deg): 90.00 90.00 90.00
Closest atoms and distances in Å follow each position.
Space group Pm-3m (No. 221)
Unique sites:
Si: 0.0000 0.0000 0.0000 x1  12 Cl 3.30
Cl: 0.0000 0.5000 0.5000 x3  2 F 2.34
F: 0.5000 0.5000 0.5000 x1  6 Cl 2.34

---

## three
An optimized crystal structure of SiCl3F, computed with GGA-PBE.

Summary:
Total moment   0.00 μB/f.u.

a b c (Å): 14.1428 5.4567 10.8954
angles (deg): 90.00 90.00 90.00
Closest atoms and distances in Å follow each position.
Space group Ima2 (No. 46)
Unique sites:
Si: 0.2500 0.0982 0.0000 x4  1 F 1.60
Cl: 0.1322 0.5146 0.4107 x8  1 Si 2.03
Cl: 0.2500 0.5208 0.6758 x4  1 Si 2.02
F: 0.2500 0.1083 0.5015 x4  1 Si 1.60

---

In meV/atom, relative to the most stable structure: one 1336; two 2174; three 0.

---

## one
An optimized crystal structure of SiClF2, computed with GGA-PBE.

Summary:
Total moment   0.93 μB/f.u.

a b c (Å): 3.4222 3.4222 25.7253
angles (deg): 90.00 90.00 120.00
Closest atoms and distances in Å follow each position.
Space group R-3m (No. 166, hexagonal axes)
Unique sites:
Si: 0.0000 0.0000 0.0000 x3  6 F 2.17
Cl: 0.0000 0.0000 0.5000 x3  2 F 3.38, 6 Cl 3.42
F: 0.0000 0.0000 0.3686 x6  3 Si 2.17

---

## two
An optimized crystal structure of SiClF2, computed with GGA-PBE.

Summary:
Total moment   0.00 μB/f.u.

a b c (Å): 5.8487 5.8487 8.7645
angles (deg): 90.00 90.00 90.00
Closest atoms and distances in Å follow each position.
Space group I4_1/amd (No. 141, origin choice 2)
Unique sites:
Si: 0.0000 0.2500 0.3750 x4  4 F 1.83
Cl: 0.0000 0.2500 0.8750 x4  12 F 3.45-3.60, 4 Si 3.65, 4 Cl 3.65
F: 0.0000 0.0000 0.5000 x8  2 Si 1.83

---

In meV/atom, relative to the most stable structure: one 290; two 0.